The following is a PBE calculation of an optimized crystal structure of Rb2Sc2MnSe6, from Alexandria via LeMat-Bulk.

Summary:
As for the space group: No. 12. The value obtained for the energy relative to the elements, uncorrected is -1.260 eV per atom.

a b c (Å): 6.6632 6.6632 8.4904
angles (deg): 98.03 98.03 119.73
With the nearest neighbours (Å) after each atom.
Fractional positions:
Rb (0.1713, 0.8287, 0.0000)  6 Se 3.41-3.47, 2 Rb 3.81
Rb (0.8287, 0.1713, 0.0000)  6 Se 3.41-3.47, 2 Rb 3.81
Sc (0.3319, 0.6681, 0.5000)  6 Se 2.72
Sc (0.6681, 0.3319, 0.5000)  6 Se 2.72
Mn (0.0000, 0.0000, 0.5000)  6 Se 2.55
Se (0.0666, 0.3771, 0.6802)  1 Mn 2.55, 2 Sc 2.72
Se (0.2503, 0.2503, 0.3222)  1 Mn 2.55, 2 Sc 2.72
Se (0.3771, 0.0666, 0.6802)  1 Mn 2.55, 2 Sc 2.72
Se (0.6229, 0.9334, 0.3198)  1 Mn 2.55, 2 Sc 2.72
Se (0.7497, 0.7497, 0.6778)  1 Mn 2.55, 2 Sc 2.72
Se (0.9334, 0.6229, 0.3198)  1 Mn 2.55, 2 Sc 2.72

***

The following is a PBE calculation of an optimized crystal structure of BeIn2Hg, from Alexandria via LeMat-Bulk.

Summary:
As for the space group: No. 6. The value obtained for the formation energy is 0.257 eV/atom. Its density of states at the Fermi level is 1.27 states/eV/cell.

a b c (Å): 4.2653 3.2836 6.5345
angles (deg): 90.00 108.75 90.00
With the nearest neighbours (Å) after each atom.
Fractional positions:
Be (0.0000, 0.0000, 0.0000)  2 Hg 2.57, 5 In 2.62-2.73
In (0.2120, 0.0000, 0.4236)  1 Be 2.62
In (0.5356, 0.5000, 0.0722)  4 Be 2.73
Hg (0.8387, 0.5000, 0.6801)  2 Be 2.57

***

The following is a PBE calculation of an optimized crystal structure of ZnIn2Br, from Alexandria via LeMat-Bulk.

Summary:
As for the space group: No. 35. Its density of states at the Fermi level is 1.11 states/eV/cell. The value obtained for the energy relative to the elements, uncorrected is -0.093 eV per atom.

a b c (Å): 3.4933 3.4933 9.7130
angles (deg): 90.00 90.00 115.68
With the nearest neighbours (Å) after each atom.
Fractional positions:
Zn (0.0000, 0.0000, 0.0000)  2 Br 2.58, 2 In 2.87
In (0.0000, 0.0000, 0.5127)  8 In 3.36-3.72, 2 Br 3.48
In (0.5000, 0.5000, 0.2247)  2 Zn 2.87
Br (0.5000, 0.5000, 0.8155)  2 Zn 2.58

***

The following is a PBE calculation of an optimized crystal structure of Sc2ReAg, from Alexandria via LeMat-Bulk.

Summary:
As for the space group: No. 35. The value obtained for the formation energy is 0.273 eV/atom. Its density of states at the Fermi level is 4.87 states/eV/cell.

a b c (Å): 2.8705 2.8705 9.6215
angles (deg): 90.00 90.00 106.85
With the nearest neighbours (Å) after each atom.
Fractional positions:
Sc (0.0000, 0.0000, 0.0000)  2 Re 2.72, 4 Sc 2.87
Sc (0.5000, 0.5000, 0.2966)  4 Sc 2.87, 2 Ag 2.91
Re (0.5000, 0.5000, 0.7807)  2 Sc 2.72, 2 Ag 2.87, 4 Re 2.87
Ag (0.0000, 0.0000, 0.5418)  2 Re 2.87, 4 Ag 2.87, 2 Sc 2.91

***

The following is a PBE calculation of an optimized crystal structure of Pm12Er5Mg2, from Alexandria via LeMat-Bulk.

Summary:
As for the space group: No. 12. The value obtained for the formation energy is 0.093 eV/atom. Its density of states at the Fermi level is 29.66 states/eV/cell.

a b c (Å): 9.1131 9.1131 8.5573
angles (deg): 91.93 91.93 60.53
With the nearest neighbours (Å) after each atom.
Fractional positions:
Pm (0.0598, 0.0598, 0.3393)  2 Er 3.34-3.57, 7 Pm 3.36-3.53, 2 Mg 3.37
Pm (0.0678, 0.6788, 0.3223)  4 Er 3.40-3.73, 5 Pm 3.40-3.57, 1 Mg 3.48
Pm (0.1657, 0.5348, 0.7639)  1 Mg 3.34, 4 Pm 3.36-3.60, 4 Er 3.53-3.73
Pm (0.3212, 0.9322, 0.6777)  4 Er 3.40-3.73, 5 Pm 3.40-3.57, 1 Mg 3.48
Pm (0.4188, 0.4188, 0.1179)  5 Pm 3.32-3.60, 3 Er 3.46-3.62, 2 Mg 3.50
Pm (0.4652, 0.8343, 0.2361)  1 Mg 3.34, 4 Pm 3.36-3.60, 4 Er 3.53-3.73
Pm (0.5348, 0.1657, 0.7639)  1 Mg 3.34, 4 Pm 3.36-3.60, 4 Er 3.53-3.73
Pm (0.5812, 0.5812, 0.8821)  5 Pm 3.32-3.60, 3 Er 3.46-3.62, 2 Mg 3.50
Pm (0.6788, 0.0678, 0.3223)  4 Er 3.40-3.73, 5 Pm 3.40-3.57, 1 Mg 3.48
Pm (0.8343, 0.4652, 0.2361)  1 Mg 3.34, 4 Pm 3.36-3.60, 4 Er 3.53-3.73
Pm (0.9322, 0.3212, 0.6777)  4 Er 3.40-3.73, 5 Pm 3.40-3.57, 1 Mg 3.48
Pm (0.9402, 0.9402, 0.6607)  2 Er 3.34-3.57, 7 Pm 3.36-3.53, 2 Mg 3.37
Er (0.2021, 0.2021, 0.0241)  8 Pm 3.47-3.70, 2 Mg 3.52, 1 Er 3.56
Er (0.2682, 0.2682, 0.4270)  8 Pm 3.34-3.62, 2 Er 3.56-3.68
Er (0.5000, 0.5000, 0.5000)  10 Pm 3.46-3.73, 2 Er 3.68
Er (0.7318, 0.7318, 0.5730)  8 Pm 3.34-3.62, 2 Er 3.56-3.68
Er (0.7979, 0.7979, 0.9759)  8 Pm 3.47-3.70, 2 Mg 3.52, 1 Er 3.56
Mg (0.1647, 0.8353, 0.0000)  1 Mg 3.03, 4 Pm 3.34-3.37
Mg (0.8353, 0.1647, 0.0000)  1 Mg 3.03, 4 Pm 3.34-3.37

***

The following is a PBE calculation of an optimized crystal structure of AcHoInAu, from Alexandria via LeMat-Bulk.

Summary:
As for the space group: No. 216. The value obtained for the formation energy is -0.522 eV/atom. Its density of states at the Fermi level is 3.19 states/eV/cell.

a b c (Å): 5.4709 5.4709 5.4709
angles (deg): 60.00 60.00 60.00
With the nearest neighbours (Å) after each atom.
Fractional positions:
Ac (0.0000, 0.0000, 0.0000)  4 In 3.35, 4 Au 3.35
Ho (0.5000, 0.5000, 0.5000)  4 In 3.35, 4 Au 3.35
In (0.2500, 0.2500, 0.2500)  4 Ac 3.35, 4 Ho 3.35
Au (0.7500, 0.7500, 0.7500)  4 Ac 3.35, 4 Ho 3.35

***

The following is a PBE calculation of an optimized crystal structure of NaTlSN2, from Alexandria via LeMat-Bulk.

Summary:
As for the space group: No. 123. Its density of states at the Fermi level is 2.28 states/eV/cell. The value obtained for the energy relative to the elements, uncorrected is 1.642 eV per atom.

a b c (Å): 4.6320 4.6320 5.3633
angles (deg): 90.00 90.00 90.00
With the nearest neighbours (Å) after each atom.
Fractional positions:
Na (0.0000, 0.0000, 0.0000)  4 N 2.32
Tl (0.5000, 0.5000, 0.5000)  4 S 3.28, 8 N 3.54
S (0.0000, 0.0000, 0.5000)  2 Na 2.68
N (0.0000, 0.5000, 0.0000)  2 Na 2.32
N (0.5000, 0.0000, 0.0000)  2 Na 2.32

***

The following is a PBE calculation of an optimized crystal structure of AsIr2Pb, from Alexandria via LeMat-Bulk.

Summary:
As for the space group: No. 10. The value obtained for the formation energy is 0.457 eV/atom. Its density of states at the Fermi level is 3.10 states/eV/cell.

a b c (Å): 4.5893 3.1329 5.3327
angles (deg): 90.00 112.16 90.00
With the nearest neighbours (Å) after each atom.
Fractional positions:
As (0.0000, 0.0000, 0.0000)  6 Ir 2.78-2.79, 4 Pb 3.09
Ir (0.5000, 0.0000, 0.5000)  4 Pb 2.78, 2 As 2.79, 4 Ir 3.09
Ir (0.5000, 0.5000, 0.0000)  4 As 2.78, 2 Pb 2.79, 4 Ir 3.09
Pb (0.0000, 0.5000, 0.5000)  6 Ir 2.78-2.79, 4 As 3.09

***

The following is a PBE calculation of an optimized crystal structure of La4Co2Cl3, from Alexandria via LeMat-Bulk.

Summary:
As for the space group: No. 12. Its density of states at the Fermi level is 5.34 states/eV/cell. The value obtained for the energy relative to the elements, uncorrected is -0.978 eV per atom.

a b c (Å): 8.0897 8.0897 8.7557
angles (deg): 117.70 117.70 27.19
With the nearest neighbours (Å) after each atom.
Fractional positions:
La (0.0761, 0.0761, 0.3832)  3 Co 2.71-3.00, 1 Cl 2.97
La (0.2995, 0.2995, 0.8562)  1 Co 2.35
La (0.7005, 0.7005, 0.1438)  1 Co 2.35
La (0.9239, 0.9239, 0.6168)  3 Co 2.71-3.00, 1 Cl 2.97
Co (0.2931, 0.2931, 0.5821)  1 La 2.35, 2 Co 2.38
Co (0.7069, 0.7069, 0.4179)  1 La 2.35, 2 Co 2.38
Cl (0.0000, 0.0000, 0.0000)  2 La 2.97
Cl (0.3861, 0.3861, 0.2752)  7 La 3.20-3.35
Cl (0.6139, 0.6139, 0.7248)  7 La 3.20-3.35

***

The following is a PBE calculation of an optimized crystal structure of TlFeRu2, from Alexandria via LeMat-Bulk.

Summary:
As for the space group: No. 12. The value obtained for the formation energy is 0.462 eV/atom. Its density of states at the Fermi level is 4.30 states/eV/cell.

a b c (Å): 4.6586 4.6586 5.0492
angles (deg): 101.56 101.56 36.28
With the nearest neighbours (Å) after each atom.
Fractional positions:
Tl (0.0000, 0.0000, 0.0000)  6 Ru 2.80-2.89, 2 Tl 2.90, 4 Fe 2.91
Fe (0.5000, 0.5000, 0.5000)  6 Ru 2.57-2.76
Ru (0.2349, 0.2349, 0.7066)  3 Fe 2.57-2.76, 2 Ru 2.60, 1 Tl 2.80
Ru (0.7651, 0.7651, 0.2934)  3 Fe 2.57-2.76, 2 Ru 2.60, 1 Tl 2.80

***

The following is a PBE calculation of an optimized crystal structure of Dy2CdTe, from Alexandria via LeMat-Bulk.

Summary:
As for the space group: No. 160. Its density of states at the Fermi level is 3.82 states/eV/cell. The value obtained for the energy relative to the elements, uncorrected is -0.681 eV per atom.

a b c (Å): 8.7032 8.7032 8.7032
angles (deg): 26.67 26.67 26.67
With the nearest neighbours (Å) after each atom.
Fractional positions:
Dy (0.0000, 0.0000, 0.0000)  3 Te 3.10, 3 Cd 3.13
Dy (0.1647, 0.1647, 0.1647)  3 Te 3.12, 3 Cd 3.15
Cd (0.5828, 0.5828, 0.5828)  6 Dy 3.13-3.15
Te (0.4150, 0.4150, 0.4150)  6 Dy 3.10-3.12

***

The following is a PBE calculation of an optimized crystal structure of Na2In2Au, from Alexandria via LeMat-Bulk.

Summary:
As for the space group: No. 139. The value obtained for the formation energy is 0.080 eV/atom. Its density of states at the Fermi level is 2.66 states/eV/cell.

a b c (Å): 8.4001 8.4001 8.4001
angles (deg): 152.44 152.44 39.37
With the nearest neighbours (Å) after each atom.
Fractional positions:
Na (0.2500, 0.7500, 0.5000)  4 Na 2.83
Na (0.7500, 0.2500, 0.5000)  4 Na 2.83
In (0.0897, 0.0897, 0.0000)  1 In 2.84, 4 Au 3.17
In (0.9103, 0.9103, 0.0000)  1 In 2.84, 4 Au 3.17
Au (0.5000, 0.5000, 0.0000)  8 In 3.17